Compound: PrDy4Th
Source: the Alexandria database
Functional: GGA-PBE
Structure: optimized geometry

extended XYZ file:
```
6
Lattice="0.0000 4.6560 4.6560 4.6560 0.0000 4.6560 4.6560 4.6560 0.0000" Properties=species:S:1:pos:R:3 pbc="T T T"
Pr 0.0000 0.0000 0.0000
Dy 5.8102 3.5019 3.5019
Dy 3.5019 5.8102 3.5019
Dy 3.5019 3.5019 5.8102
Dy 5.8102 5.8102 5.8102
Th 2.3280 2.3280 2.3280
```

Summary:
N(E_F)	2.3096	states/eV per atom
energy above the lowest structure with this stoichiometry	298.9	meV per atom
spin magnetization	2.825	μB per formula unit

---

Compound: La2ZrTlZn
Source: the Alexandria database
Functional: GGA-PBE
Structure: optimized geometry

extended XYZ file:
```
5
Lattice="6.0125 0.0000 0.0000 0.0000 6.0125 0.0000 0.0000 0.0000 5.4056" Properties=species:S:1:pos:R:3 pbc="T T T"
La 0.0000 3.0063 0.0000
La 3.0063 0.0000 0.0000
Zr 0.0000 0.0000 2.7028
Tl 0.0000 0.0000 0.0000
Zn 3.0063 3.0063 2.7028
```

Summary:
N(E_F)	1.1312	states/eV per atom
spin magnetization	0.000	μB per formula unit

---

Energy relative to the elements for every record listed, in sequence, given in eV per atom: 0.328, 0.708.